A plane-wave DFT calculation with meta-GGA SCAN was carried out for a PBEsol-optimized structure of Ca2W.

The structure belongs to space group Cmcm (No. 63); the cell edges are 3.291, 29.334 and 3.806 Å and the angles 90.00°, 90.00° and 90.00°. The distinct sites, in fractional coordinates, are Ca at (0.000, 0.054, 0.250), Ca at (0.000, 0.342, 0.250) and W at (0.000, 0.259, 0.750).

The calculation puts the total DFT energy (no corrections) at -29.110 eV/atom. For the formation energy, the calculation gives 0.562 eV per atom.